First-principles (PBE) data for a relaxed PrNdY2S4 crystal, as listed in Alexandria via LeMat-Bulk.

a = 6.885 Å, b = 3.947 Å, c = 7.053 Å
α = 90.00°, β = 108.77°, γ = 90.00°
Fractional positions:
Pr1 0.000 0.000 0.000
Nd1 0.500 0.500 0.000
Y1 0.000 0.500 0.500
Y2 0.500 0.000 0.500
S1 0.246 0.000 0.734
S2 0.257 0.500 0.267
S3 0.743 0.500 0.733
S4 0.754 0.000 0.266

## Properties
Uncorrected formation energy ... -2014 meV per atom
Space group ... P2/m, No. 10
Volume ... 181.5 Å³/cell
Total magnetization ... 0.00 μB per cell